(1)
YGaFeCu: relaxed, PBE.

Values from the calculation:
The space group is F-43m, No. 216. As for the spin magnetization: 0.691 μB/atom. The value obtained for the distance to the lowest polymorph of the same formula is 0.1353 eV per atom.

Geometry as POSCAR:
```
YGaFeCu
1.0
3.7092 -2.7204 0.2178
-0.4024 -4.3236 1.5333
0.4410 -3.5304 -2.9238
Y Fe Ga Cu
1 1 1 1
direct
0.2500 0.2500 0.2500 Y
0.5000 0.5000 0.5000 Fe
0.0000 0.0000 0.0000 Ga
0.7500 0.7500 0.7500 Cu
```



(2)
GdHoNi2B2As2: relaxed, PBE.

Values from the calculation:
The space group is P4mm, No. 99. Its raw total energy is -48.18 eV for the cell shown. As for the spin magnetization: 0.001 μB/atom.

Geometry as POSCAR:
```
GdHoNi2B2As2
1.0
-3.7040 -0.7784 1.0883
1.0268 -3.7074 0.8429
1.7779 2.2310 7.6469
Gd B Ni As Ho
1 2 2 2 1
direct
0.0000 0.0000 0.2262 Gd
0.5000 0.5000 0.4097 B
0.0000 0.0000 0.5891 B
0.0000 0.5000 0.5015 Ni
0.5000 0.0000 0.5015 Ni
0.0000 0.0000 0.8476 As
0.5000 0.5000 0.1495 As
0.5000 0.5000 0.7749 Ho
```



(3)
ThFe: relaxed, PBE.

Values from the calculation:
The space group is R-3m, No. 166. The value obtained for the formation energy from the elements is 0.1868 eV/atom. As for the spin magnetization: 0.003 μB/atom.

Geometry as POSCAR:
```
ThFe
1.0
1.9146 1.1054 3.1629
-1.9146 1.1054 3.1629
0.0000 -2.2108 3.1629
Th Fe
1 1
direct
0.5000 0.5000 0.5000 Th
0.0000 0.0000 0.0000 Fe
```



(4)
Cs2TeOsSe2: relaxed, PBE.

Values from the calculation:
The space group is C2/m, No. 12. Its raw total energy is -52.13 eV for the cell shown. As for the spin magnetization: 0.308 μB/atom.

Geometry as POSCAR:
```
Cs2TeOsSe2
1.0
7.1645 -3.7679 0.0000
7.1645 3.7679 0.0000
-5.4642 0.0000 8.9166
Se Os Cs Te
4 2 4 2
direct
0.7881 0.7881 0.7291 Se
0.2119 0.2119 0.2709 Se
0.2463 0.7537 0.5000 Se
0.7537 0.2463 0.5000 Se
0.5994 0.5994 0.6446 Os
0.4006 0.4006 0.3554 Os
0.2947 0.2947 0.6716 Cs
0.9212 0.9212 0.1362 Cs
0.0788 0.0788 0.8638 Cs
0.7053 0.7053 0.3284 Cs
0.6093 0.6093 0.8975 Te
0.3907 0.3907 0.1025 Te
```